The following is a PBE-GGA calculation of a relaxed Ca2Pd crystal, from Alexandria.

Results
Calculated volume (A^3/atom): 28.52
SG: I4/mmm (139)
DOS at the Fermi energy (states/eV/cell): 1.6
DFT total energy (eV per atom): -3.5580
Calculated formation energy (eV/atom): -0.49

abc: 7.038 7.038 7.038
angles: 150.26 150.26 42.55
Positions (direct):
Ca 0.129 0.129 0.000
Ca 0.871 0.871 0.000
Pd 0.500 0.500 0.000